Compound: UTeBrO6
Source: the Alexandria database
Functional: PBE
Structure: optimized geometry

For the formation energy (no corrections), the calculation gives -1587 meV/atom. The value obtained for the total moment is 1.00 μB/f.u.

It has space group Imma (No. 74), with a = 7.255 Å, b = 8.065 Å, c = 10.861 Å, α = 90.00°, β = 90.00° and γ = 90.00°. The asymmetric unit holds U at (0.000, 0.000, 0.000), Te at (0.250, 0.250, 0.250), Br at (0.000, 0.250, 0.684), O at (0.000, 0.250, 0.318), O at (0.000, 0.250, 0.943) and O at (0.192, 0.079, 0.129).